## LiTiCrO4 (GGA+U)

Data for a geometry-optimized LiTiCrO4 structure. Values from VASP.

Geometry as Quantum ESPRESSO input:
```
&SYSTEM
  ibrav = 0, nat = 14, ntyp = 4
/
ATOMIC_SPECIES
Li 6.94 Li.upf
Ti 47.87 Ti.upf
Cr 52.00 Cr.upf
O 16.00 O.upf
ATOMIC_POSITIONS crystal
Li 0.0000 0.1911 0.0000
Li 0.0000 0.8089 0.5000
Ti 0.0000 0.2431 0.3237
Ti 0.0000 0.7569 0.8237
Cr 0.5000 0.2584 0.6050
Cr 0.5000 0.7416 0.1050
O 0.0000 0.0289 0.6838
O 0.0000 0.4389 0.5058
O 0.0000 0.5611 0.0058
O 0.0000 0.9711 0.1838
O 0.5000 0.0390 0.4290
O 0.5000 0.4457 0.2526
O 0.5000 0.5543 0.7526
O 0.5000 0.9610 0.9290
CELL_PARAMETERS angstrom
2.9925 0.0000 0.0000
0.0000 5.0342 0.0000
0.0000 0.0000 9.6410
```

Values from the calculation:
- energy relative to the lowest polymorph listed for this composition (kJ/mol of formula units) = 16
- density of states at the Fermi level (states/eV per cell) = 0.000
- calculated volume (Å³/cell) = 145.2